Entry 1:
Here is a relaxed TlCu2Rh crystal from Alexandria. Energies are from GGA-PBE.

a b c (Å): 3.8186 3.8186 18.6726
angles (deg): 90.00 90.00 90.00
Space group I-42d (No. 122)
Asymmetric unit:
Tl 0.0000 0.0000 0.0000
Cu 0.2162 0.2500 0.6250
Rh 0.0000 0.0000 0.5000

D(E_F): 0.4147 states/eV per atom
uncorrected energy: -4.129 eV per atom
formation energy: 135 kJ/mol of formula units

Entry 2:
Here is a relaxed TlCu2Rh crystal from Alexandria. Energies are from GGA-PBE.

a b c (Å): 3.9421 3.9421 7.8755
angles (deg): 90.00 90.00 90.00
Space group I4/mmm (No. 139)
Asymmetric unit:
Tl 0.0000 0.0000 0.0000
Cu 0.0000 0.5000 0.2500
Rh 0.0000 0.0000 0.5000

D(E_F): 0.3553 states/eV per atom
uncorrected energy: -4.317 eV per atom
formation energy: 62 kJ/mol of formula units

Entry 3:
Here is a relaxed TlCu2Rh crystal from Alexandria. Energies are from GGA-PBE.

a b c (Å): 2.9811 4.5110 4.7721
angles (deg): 90.00 93.26 90.00
Space group P2/m (No. 10)
Asymmetric unit:
Tl 0.0000 0.0000 0.0000
Cu 0.2448 0.5000 0.7185
Rh 0.5000 0.0000 0.5000

D(E_F): 0.4041 states/eV per atom
uncorrected energy: -4.239 eV per atom
formation energy: 92 kJ/mol of formula units